PtSeBr2: optimized geometry, PBE-GGA.

Space-group type: No. 123
Raw formation energy in eV per formula unit: 2.7
VASP energy in eV per atom: -2.537

Unit cell a=2.813 b=2.813 c=12.992 alpha=90.00 beta=90.00 gamma=90.00
Element x y z (fractional)
Pt 0.000 0.000 0.000
Se 0.000 0.000 0.500
Br 0.500 0.500 0.187
Br 0.500 0.500 0.813